Record 1
Th3Sb3C | PBE-GGA | relaxed

The value obtained for the uncorrected formation energy is -673 meV per atom. The total energy comes out at -48.559 eV/f.u. For the total magnetic moment, the calculation gives 0.000 μB/atom.

It has space group C2/m (No. 12), with a = 8.424 Å, b = 12.368 Å, c = 8.060 Å, α = 90.00°, β = 102.44° and γ = 90.00°. The distinct sites, in fractional coordinates, are Th at (0.127, 0.000, 0.346), Th at (0.218, 0.343, 0.223), Sb at (0.000, 0.156, 0.000), Sb at (0.000, 0.285, 0.500), Sb at (0.096, 0.500, 0.880) and C at (0.150, 0.000, 0.647).

Record 2
HfCrTe4 | PBE-GGA | relaxed

The value obtained for the uncorrected formation energy is -490 meV per atom. The total energy comes out at -35.085 eV/f.u. For the total magnetic moment, the calculation gives 0.430 μB/atom.

It has space group P2/m (No. 10), with a = 6.584 Å, b = 3.900 Å, c = 6.875 Å, α = 90.00°, β = 90.64° and γ = 90.00°. The distinct sites, in fractional coordinates, are Hf at (0.000, 0.000, 0.000), Cr at (0.500, 0.500, 0.000), Te at (0.179, 0.500, 0.258) and Te at (0.349, 0.000, 0.758).

Record 3
YLuTe | PBE-GGA | relaxed

The value obtained for the uncorrected formation energy is -764 meV per atom. For the distance to the lowest polymorph of the same formula, the calculation gives 0 meV per atom. The total energy comes out at -16.419 eV/f.u. For the total magnetic moment, the calculation gives 0.000 μB/atom.

It has space group I4mm (No. 107), with a = 3.835 Å, b = 3.835 Å, c = 11.433 Å, α = 90.00°, β = 90.00° and γ = 90.00°. The distinct sites, in fractional coordinates, are Y at (0.000, 0.000, 0.000), Lu at (0.000, 0.000, 0.315) and Te at (0.000, 0.000, 0.663).

Record 4
SrTaO2 | PBE-GGA | relaxed

The value obtained for the uncorrected formation energy is -919 meV per atom. For the distance to the lowest polymorph of the same formula, the calculation gives 1206 meV per atom. The total energy comes out at -27.126 eV/f.u. For the total magnetic moment, the calculation gives 0.000 μB/atom.

It has space group Fm-3m (No. 225), with a = 5.886 Å, b = 5.886 Å, c = 5.886 Å, α = 90.00°, β = 90.00° and γ = 90.00°. The distinct sites, in fractional coordinates, are Sr at (0.000, 0.000, 0.000), Ta at (0.000, 0.000, 0.500) and O at (0.250, 0.250, 0.250).

Record 5
Ba2Sr2Pd | PBE-GGA | relaxed

For the distance to the lowest polymorph of the same formula, the calculation gives 522 meV per atom. The total energy comes out at -11.094 eV/f.u. For the total magnetic moment, the calculation gives 0.000 μB/atom. The energy relative to the elements is 0.262 eV/atom.

It has space group I4/mmm (No. 139), with a = 4.682 Å, b = 4.682 Å, c = 22.206 Å, α = 90.00°, β = 90.00° and γ = 90.00°. The distinct sites, in fractional coordinates, are Ba at (0.000, 0.000, 0.082), Sr at (0.000, 0.500, 0.250) and Pd at (0.000, 0.000, 0.500).

Record 6
BaHSe | PBE-GGA | relaxed

The total energy comes out at -12.631 eV/f.u. For the total magnetic moment, the calculation gives 0.000 μB/atom.

It has space group Cm (No. 8), with a = 8.238 Å, b = 4.753 Å, c = 8.387 Å, α = 90.00°, β = 109.08° and γ = 90.00°. The distinct sites, in fractional coordinates, are Ba at (0.000, 0.000, 0.000), Ba at (0.002, 0.500, 0.504), H at (0.343, 0.500, 0.528), H at (0.377, 0.500, 0.626), Se at (0.244, 0.500, 0.233) and Se at (0.252, 0.000, 0.756).

Record 7
CeAsRh | PBE-GGA | relaxed

The total energy comes out at -21.379 eV/f.u. For the total magnetic moment, the calculation gives 0.044 μB/atom. The energy relative to the elements is -1.148 eV/atom.

It has space group Pnma (No. 62), with a = 7.521 Å, b = 4.381 Å, c = 7.339 Å, α = 90.00°, β = 90.00° and γ = 90.00°. The distinct sites, in fractional coordinates, are Ce at (0.009, 0.250, 0.227), As at (0.216, 0.250, 0.589) and Rh at (0.247, 0.750, 0.429).

Record 8
K4ZrSc | PBE-GGA | relaxed

The total energy comes out at -13.090 eV/f.u. For the total magnetic moment, the calculation gives 0.701 μB/atom. The energy relative to the elements is 1.030 eV/atom.

It has space group F-43m (No. 216), with a = 10.082 Å, b = 10.082 Å, c = 10.082 Å, α = 90.00°, β = 90.00° and γ = 90.00°. The distinct sites, in fractional coordinates, are K at (0.125, 0.125, 0.125), Zr at (0.000, 0.000, 0.500) and Sc at (0.250, 0.250, 0.750).

Record 9
AcLa8Er6 | PBE-GGA | relaxed

The total energy comes out at -68.218 eV/f.u. For the total magnetic moment, the calculation gives 0.000 μB/atom. The energy relative to the elements is 0.179 eV/atom.

It has space group P-3 (No. 147), with a = 9.5134 Å, b = 9.5134 Å, c = 6.7215 Å, α = 90.00°, β = 90.00° and γ = 120.00°. The distinct sites, in fractional coordinates, are Ac at (0.0000, 0.0000, 0.0000), La at (0.0434, 0.7422, 0.6585), La at (0.3333, 0.6667, 0.6160) and Er at (0.1001, 0.6601, 0.1494).

Record 10
Tb2PrNd4Th | PBE-GGA | relaxed

The total energy comes out at -40.240 eV/f.u. For the total magnetic moment, the calculation gives 0.000 μB/atom. The energy relative to the elements is 0.036 eV/atom.

It has space group P2/m (No. 10), with a = 5.141 Å, b = 5.144 Å, c = 10.347 Å, α = 90.00°, β = 90.07° and γ = 90.00°. The distinct sites, in fractional coordinates, are Tb at (0.000, 0.000, 0.000), Tb at (0.500, 0.500, 0.500), Pr at (0.000, 0.000, 0.500), Nd at (0.000, 0.500, 0.245), Nd at (0.500, 0.000, 0.244) and Th at (0.500, 0.500, 0.000).

Record 11
Hf6Os2C | PBE-GGA | relaxed

The total energy comes out at -95.078 eV/f.u. For the total magnetic moment, the calculation gives 0.000 μB/atom. The energy relative to the elements is -0.408 eV/atom.

It has space group P2_1/c (No. 14), with a = 6.071 Å, b = 6.427 Å, c = 10.603 Å, α = 90.00°, β = 123.61° and γ = 90.00°. The distinct sites, in fractional coordinates, are Hf at (0.142, 0.029, 0.246), Hf at (0.237, 0.696, 0.052), Hf at (0.358, 0.183, 0.049), Os at (0.292, 0.086, 0.759) and C at (0.000, 0.000, 0.000).

Record 12
Cs2KMgHg6 | PBE-GGA | relaxed

The total energy comes out at -7.948 eV/f.u. For the total magnetic moment, the calculation gives 0.000 μB/atom. The energy relative to the elements is -0.174 eV/atom.

It has space group P-1 (No. 2), with a = 6.939 Å, b = 7.839 Å, c = 9.247 Å, α = 76.81°, β = 68.11° and γ = 63.82°. The distinct sites, in fractional coordinates, are Cs at (0.232, 0.318, 0.217), K at (0.000, 0.000, 0.000), Mg at (0.500, 0.500, 0.500), Hg at (0.211, 0.781, 0.319), Hg at (0.250, 0.882, 0.621) and Hg at (0.312, 0.219, 0.685).

Record 13
Pa2PbAu | PBE-GGA | relaxed

For the distance to the lowest polymorph of the same formula, the calculation gives 0 meV per atom. The total energy comes out at -26.279 eV/f.u. For the total magnetic moment, the calculation gives 0.015 μB/atom. The energy relative to the elements is -0.075 eV/atom.

It has space group P4/mmm (No. 123), with a = 3.340 Å, b = 3.340 Å, c = 8.850 Å, α = 90.00°, β = 90.00° and γ = 90.00°. The distinct sites, in fractional coordinates, are Pa at (0.000, 0.000, 0.231), Pb at (0.500, 0.500, 0.500) and Au at (0.500, 0.500, 0.000).

Record 14
Ba2As3Pd | PBE-GGA | relaxed

The total energy comes out at -28.081 eV/f.u. For the total magnetic moment, the calculation gives 0.000 μB/atom. The energy relative to the elements is -0.849 eV/atom.

It has space group Fmmm (No. 69), with a = 9.463 Å, b = 9.494 Å, c = 15.022 Å, α = 90.00°, β = 90.00° and γ = 90.00°. The distinct sites, in fractional coordinates, are Ba at (0.000, 0.237, 0.000), Ba at (0.250, 0.250, 0.250), As at (0.000, 0.000, 0.161), As at (0.224, 0.000, 0.417) and Pd at (0.000, 0.000, 0.326).

Record 15
ErThHgPt | PBE-GGA | relaxed

The total energy comes out at -21.000 eV/f.u. For the total magnetic moment, the calculation gives 0.000 μB/atom. The energy relative to the elements is -0.669 eV/atom.

It has space group F-43m (No. 216), with a = 7.321 Å, b = 7.321 Å, c = 7.321 Å, α = 90.00°, β = 90.00° and γ = 90.00°. The distinct sites, in fractional coordinates, are Er at (0.000, 0.000, 0.000), Th at (0.000, 0.000, 0.500), Hg at (0.250, 0.250, 0.750) and Pt at (0.250, 0.250, 0.250).

Record 16
BaCaH4 | PBE-GGA | relaxed

For the distance to the lowest polymorph of the same formula, the calculation gives 0 meV per atom. The total energy comes out at -20.156 eV/f.u. For the total magnetic moment, the calculation gives 0.000 μB/atom.

It has space group P4/mmm (No. 123), with a = 4.109 Å, b = 4.109 Å, c = 5.996 Å, α = 90.00°, β = 90.00° and γ = 90.00°. The distinct sites, in fractional coordinates, are Ba at (0.000, 0.000, 0.000), Ca at (0.500, 0.500, 0.500) and H at (0.000, 0.500, 0.278).

Record 17
Mg2TaSnO6 | PBE-GGA | relaxed

The value obtained for the uncorrected formation energy is -2305 meV per atom. The total energy comes out at -71.845 eV/f.u. For the total magnetic moment, the calculation gives 0.000 μB/atom.

It has space group P2_1/m (No. 11), with a = 5.457 Å, b = 7.824 Å, c = 5.537 Å, α = 90.00°, β = 91.82° and γ = 90.00°. The distinct sites, in fractional coordinates, are Mg at (0.011, 0.250, 0.038), Mg at (0.486, 0.250, 0.534), Ta at (0.500, 0.000, 0.000), Sn at (0.000, 0.000, 0.500), O at (0.127, 0.250, 0.405), O at (0.188, 0.570, 0.151), O at (0.359, 0.568, 0.681) and O at (0.370, 0.250, 0.920).

Record 18
NbSi3W | PBE-GGA | relaxed

The value obtained for the uncorrected formation energy is 1648 meV per atom. For the distance to the lowest polymorph of the same formula, the calculation gives 581 meV per atom. The total energy comes out at -31.050 eV/f.u. For the total magnetic moment, the calculation gives 0.000 μB/atom.

It has space group Pm-3m (No. 221), with a = 4.655 Å, b = 4.655 Å, c = 4.655 Å, α = 90.00°, β = 90.00° and γ = 90.00°. The distinct sites, in fractional coordinates, are Nb at (0.000, 0.000, 0.000), Si at (0.000, 0.000, 0.500) and W at (0.500, 0.500, 0.500).

Record 19
BaCaRe3 | PBE-GGA | relaxed

For the distance to the lowest polymorph of the same formula, the calculation gives 348 meV per atom. The total energy comes out at -25.266 eV/f.u. For the total magnetic moment, the calculation gives 0.801 μB/atom. The energy relative to the elements is 3.200 eV/atom.

It has space group Pm-3m (No. 221), with a = 5.103 Å, b = 5.103 Å, c = 5.103 Å, α = 90.00°, β = 90.00° and γ = 90.00°. The distinct sites, in fractional coordinates, are Ba at (0.000, 0.000, 0.000), Ca at (0.500, 0.500, 0.500) and Re at (0.000, 0.000, 0.500).

Record 20
Th5CoHg2 | PBE-GGA | relaxed

The total energy comes out at -46.136 eV/f.u. For the total magnetic moment, the calculation gives 0.000 μB/atom. The energy relative to the elements is -0.166 eV/atom.

It has space group Pbam (No. 55), with a = 8.469 Å, b = 12.100 Å, c = 4.464 Å, α = 90.00°, β = 90.00° and γ = 90.00°. The distinct sites, in fractional coordinates, are Th at (0.000, 0.000, 0.000), Th at (0.136, 0.299, 0.000), Th at (0.180, 0.566, 0.500), Co at (0.000, 0.500, 0.000) and Hg at (0.083, 0.825, 0.500).